No. 1
# Ho3Al2Pd4

A relaxed structure of Ho3Al2Pd4 (PBE, Alexandria via LeMat-Bulk).

Lattice parameters (Å, degrees): 5.389 5.389 8.700 95.59 95.59 46.86
Element x y z (fractional)
1 Ho 0.000 0.000 0.000
2 Ho 0.375 0.375 0.613
3 Ho 0.625 0.625 0.387
4 Al 0.325 0.325 0.209
5 Al 0.675 0.675 0.791
6 Pd 0.087 0.087 0.636
7 Pd 0.286 0.286 0.908
8 Pd 0.714 0.714 0.092
9 Pd 0.913 0.913 0.364

## Properties
energy of formation from the pure elements: -0.87 eV per atom
SG: C2/m, No. 12

No. 2
# Pm2MnBi

A relaxed structure of Pm2MnBi (PBE, Alexandria via LeMat-Bulk).

Lattice parameters (Å, degrees): 5.110 5.110 4.245 90.00 90.00 90.00
Element x y z (fractional)
1 Pm 0.000 0.500 0.000
2 Pm 0.500 0.000 0.000
3 Mn 0.000 0.000 0.500
4 Bi 0.500 0.500 0.500

## Properties
energy of formation from the pure elements: -0.17 eV per atom
SG: P4/mmm, No. 123

No. 3
# Pm3NpPt8

A relaxed structure of Pm3NpPt8 (PBE, Alexandria via LeMat-Bulk).

Lattice parameters (Å, degrees): 9.501 9.501 9.501 33.55 33.55 33.55
Element x y z (fractional)
1 Pm 0.000 0.000 0.000
2 Pm 0.126 0.126 0.126
3 Pm 0.623 0.623 0.623
4 Np 0.499 0.499 0.499
5 Pt 0.061 0.061 0.562
6 Pt 0.061 0.562 0.061
7 Pt 0.062 0.562 0.562
8 Pt 0.312 0.312 0.312
9 Pt 0.562 0.061 0.061
10 Pt 0.562 0.062 0.562
11 Pt 0.562 0.562 0.062
12 Pt 0.812 0.812 0.812

## Properties
energy of formation from the pure elements: -0.95 eV per atom
SG: R3m, No. 160

No. 4
# LaCrPb2

A relaxed structure of LaCrPb2 (PBE, Alexandria via LeMat-Bulk).

Lattice parameters (Å, degrees): 3.550 4.763 6.683 90.00 97.65 90.00
Element x y z (fractional)
1 La 0.000 0.000 0.000
2 Cr 0.500 0.000 0.500
3 Pb 0.377 0.500 0.729
4 Pb 0.623 0.500 0.271

## Properties
energy of formation from the pure elements: 0.04 eV per atom
SG: P2/m, No. 10

No. 5
# CsY2I

A relaxed structure of CsY2I (PBE, Alexandria via LeMat-Bulk).

Lattice parameters (Å, degrees): 5.779 5.779 5.779 60.00 60.00 60.00
Element x y z (fractional)
1 Cs 0.000 0.000 0.000
2 Y 0.250 0.250 0.250
3 Y 0.750 0.750 0.750
4 I 0.500 0.500 0.500

## Properties
SG: Fm-3m, No. 225
formation energy without anion corrections: 0.48 eV per atom

No. 6
# Pm8TmSc2

A relaxed structure of Pm8TmSc2 (PBE, Alexandria via LeMat-Bulk).

Lattice parameters (Å, degrees): 9.215 9.215 5.852 105.00 105.00 121.61
Element x y z (fractional)
1 Pm 0.096 0.335 0.672
2 Pm 0.208 0.792 0.000
3 Pm 0.335 0.096 0.672
4 Pm 0.420 0.420 0.206
5 Pm 0.580 0.580 0.794
6 Pm 0.665 0.904 0.328
7 Pm 0.792 0.208 0.000
8 Pm 0.904 0.665 0.328
9 Tm 0.000 0.000 0.000
10 Sc 0.310 0.690 0.500
11 Sc 0.690 0.310 0.500

## Properties
energy of formation from the pure elements: 0.16 eV per atom
SG: C2/m, No. 12
energy above the lowest structure with this stoichiometry: 0.373 eV per formula unit

No. 7
# MgZrAlRu

A relaxed structure of MgZrAlRu (PBE, Alexandria via LeMat-Bulk).

Lattice parameters (Å, degrees): 4.580 4.580 4.580 60.00 60.00 60.00
Element x y z (fractional)
1 Mg 0.000 0.000 0.000
2 Zr 0.750 0.750 0.750
3 Al 0.250 0.250 0.250
4 Ru 0.500 0.500 0.500

## Properties
energy of formation from the pure elements: -0.35 eV per atom
SG: F-43m, No. 216

No. 8
# Sm6Ho6Er

A relaxed structure of Sm6Ho6Er (PBE, Alexandria via LeMat-Bulk).

Lattice parameters (Å, degrees): 6.700 6.700 11.352 90.00 90.00 120.00
Element x y z (fractional)
1 Sm 0.000 0.000 0.158
2 Sm 0.000 0.000 0.842
3 Sm 0.333 0.667 0.000
4 Sm 0.333 0.667 0.500
5 Sm 0.667 0.333 0.000
6 Sm 0.667 0.333 0.500
7 Ho 0.000 0.500 0.255
8 Ho 0.000 0.500 0.745
9 Ho 0.500 0.000 0.255
10 Ho 0.500 0.000 0.745
11 Ho 0.500 0.500 0.255
12 Ho 0.500 0.500 0.745
13 Er 0.000 0.000 0.500

## Properties
energy of formation from the pure elements: 0.28 eV per atom
SG: P6/mmm, No. 191

Number 1: density of states at the Fermi level 0.606 states/eV/atom. Number 2: density of states at the Fermi level 1.349 states/eV/atom. Number 3: density of states at the Fermi level 1.360 states/eV/atom. Number 4: density of states at the Fermi level 0.487 states/eV/atom. Number 5: density of states at the Fermi level 0.955 states/eV/atom. Number 6: density of states at the Fermi level 1.315 states/eV/atom. Number 7: density of states at the Fermi level 1.127 states/eV/atom. Number 8: density of states at the Fermi level 2.008 states/eV/atom.